{
  "formula": "NaCd",
  "functional": "GGA-PBE",
  "state": "relaxed",
  "space_group": "Fddd, No. 70",
  "lattice_angstrom": [[-3.1381, 4.6503, -0.2352], [-11.1800, -8.0288, -9.5747], [-4.6056, -2.7206, 7.6590]],
  "species": ["Na", "Na", "Na", "Na", "Na", "Na", "Na", "Na", "Na", "Na", "Na", "Na", "Na", "Na", "Na", "Na", "Cd", "Cd", "Cd", "Cd", "Cd", "Cd", "Cd", "Cd", "Cd", "Cd", "Cd", "Cd", "Cd", "Cd", "Cd", "Cd"],
  "frac_coords": [[0.0000, 0.0000, 0.3341], [0.0000, 0.5000, 0.8341], [0.5000, 0.0000, 0.1659], [0.2500, 0.7500, 0.5841], [0.7500, 0.2500, 0.5841], [0.7500, 0.7500, 0.0841], [0.5000, 0.5000, 0.6659], [0.7500, 0.7500, 0.4159], [0.2500, 0.2500, 0.0841], [0.5000, 0.0000, 0.8341], [0.2500, 0.2500, 0.4159], [0.0000, 0.0000, 0.6659], [0.2500, 0.7500, 0.9159], [0.7500, 0.2500, 0.9159], [0.0000, 0.5000, 0.1659], [0.5000, 0.5000, 0.3341], [0.5000, 0.4138, 0.0000], [0.2500, 0.1638, 0.7500], [0.7500, 0.8362, 0.7500], [0.5000, 0.9138, 0.5000], [0.7500, 0.1638, 0.2500], [0.7500, 0.3362, 0.2500], [0.2500, 0.6638, 0.2500], [0.7500, 0.6638, 0.7500], [0.0000, 0.0862, 0.0000], [0.2500, 0.3362, 0.7500], [0.0000, 0.5862, 0.5000], [0.5000, 0.5862, 0.0000], [0.2500, 0.8362, 0.2500], [0.5000, 0.0862, 0.5000], [0.0000, 0.9138, 0.0000], [0.0000, 0.4138, 0.5000]]
}


{
  "formula": "MnZnCo2",
  "functional": "GGA-PBE",
  "state": "relaxed",
  "space_group": "I-4m2, No. 119",
  "lattice_angstrom": [[-4.4145, -0.6721, 0.5536], [-1.1794, -0.2376, 4.3357], [2.4252, 2.9247, -2.4104]],
  "species": ["Mn", "Co", "Co", "Zn"],
  "frac_coords": [[0.5000, 0.5000, 0.0000], [0.2500, 0.7500, 0.5000], [0.0000, 0.0000, 0.0000], [0.7500, 0.2500, 0.5000]]
}


Let's list N(E_F) in order: 0.4159; 0.8228 states/eV/atom.
Let's list calculated total energy in order: -1.178; -6.099 eV per atom.